A geometry-optimized Tl8CdIn6 structure, computed with GGA-PBE.

Computed properties:
- Formation energy: 0.05 eV per atom
- Symmetry: R-3

Cell: 8.4089 8.4089 8.4089 Å, 62.24 62.24 62.24°
Last column: nearest neighbours and their distance in Å.
Element x y z (fractional)
Tl  0.0805  0.0805  0.0805  4 Tl 3.26-3.30, 6 In 3.28-3.60
Tl  0.1604  0.6258  0.3246  6 Tl 3.30-3.55, 4 In 3.30-3.68, 1 Cd 3.33
Tl  0.3246  0.1604  0.6258  6 Tl 3.30-3.55, 4 In 3.30-3.68, 1 Cd 3.33
Tl  0.3742  0.6754  0.8396  6 Tl 3.30-3.55, 4 In 3.30-3.68, 1 Cd 3.33
Tl  0.6258  0.3246  0.1604  6 Tl 3.30-3.55, 4 In 3.30-3.68, 1 Cd 3.33
Tl  0.6754  0.8396  0.3742  6 Tl 3.30-3.55, 4 In 3.30-3.68, 1 Cd 3.33
Tl  0.8396  0.3742  0.6754  6 Tl 3.30-3.55, 4 In 3.30-3.68, 1 Cd 3.33
Tl  0.9195  0.9195  0.9195  4 Tl 3.26-3.30, 6 In 3.28-3.60
Cd  0.5000  0.5000  0.5000  6 Tl 3.33, 6 In 3.43
In  0.0352  0.5646  0.7789  3 In 3.18-3.55, 4 Tl 3.28-3.55, 1 Cd 3.43
In  0.2211  0.9648  0.4354  3 In 3.18-3.55, 4 Tl 3.28-3.55, 1 Cd 3.43
In  0.4354  0.2211  0.9648  3 In 3.18-3.55, 4 Tl 3.28-3.55, 1 Cd 3.43
In  0.5646  0.7789  0.0352  3 In 3.18-3.55, 4 Tl 3.28-3.55, 1 Cd 3.43
In  0.7789  0.0352  0.5646  3 In 3.18-3.55, 4 Tl 3.28-3.55, 1 Cd 3.43
In  0.9648  0.4354  0.2211  3 In 3.18-3.55, 4 Tl 3.28-3.55, 1 Cd 3.43